No. 1
Crystalline SrAl2Pd2 at its relaxed geometry, computed with PBEsol.

a b c (Å): 4.203 4.203 6.318
angles (deg): 109.43 109.43 90.00
Sites, in units of the cell vectors:
Sr: 0.000 0.000 0.000
Pd: 0.625 0.625 0.250
Pd: 0.375 0.375 0.750
Al: 0.250 0.750 0.500
Al: 0.750 0.250 0.500

Output
* ΔH_f (0 K): -0.72 eV/atom
* DFT total energy: -5.10 eV per atom
* M_tot: 0.00 μB per cell
* space group: I4/mmm

=====

No. 2
Crystalline SrAl3Pd at its relaxed geometry, computed with PBEsol.

a b c (Å): 5.517 5.517 5.517
angles (deg): 90.00 90.00 90.00
Sites, in units of the cell vectors:
Pd: 0.500 0.500 0.500
Al: 0.500 0.000 0.000
Al: 0.000 0.500 0.000
Al: 0.000 0.000 0.500
Sr: 0.000 0.000 0.000

Output
* ΔH_f (0 K): 1.79 eV/atom
* DFT total energy: -2.22 eV per atom
* M_tot: 0.00 μB per cell
* space group: Pm-3m

=====

No. 3
Crystalline SrAlTl2Pd at its relaxed geometry, computed with PBEsol.

a b c (Å): 4.787 5.291 5.291
angles (deg): 90.00 90.00 90.00
Sites, in units of the cell vectors:
Pd: 0.000 0.000 0.000
Sr: 0.500 0.500 0.500
Al: 0.500 0.000 0.000
Tl: 0.000 0.500 0.000
Tl: 0.000 0.000 0.500

Output
* ΔH_f (0 K): -0.17 eV/atom
* DFT total energy: -3.60 eV per atom
* M_tot: 0.00 μB per cell
* space group: P4/mmm

=====

No. 4
Crystalline TbAlPd at its relaxed geometry, computed with PBEsol.

a b c (Å): 4.399 6.865 7.689
angles (deg): 90.00 90.00 90.00
Sites, in units of the cell vectors:
Al: 0.250 0.144 0.936
Al: 0.250 0.644 0.564
Al: 0.750 0.356 0.436
Al: 0.750 0.856 0.064
Pd: 0.250 0.272 0.616
Pd: 0.250 0.772 0.884
Pd: 0.750 0.228 0.116
Pd: 0.750 0.728 0.384
Tb: 0.250 0.533 0.180
Tb: 0.250 0.033 0.320
Tb: 0.750 0.467 0.820
Tb: 0.750 0.967 0.680

Output
* ΔH_f (0 K): -0.88 eV/atom
* DFT total energy: -5.90 eV per atom
* M_tot: 0.00 μB per cell
* space group: Pnma

=====

No. 5
Crystalline TbAlPd at its relaxed geometry, computed with PBEsol.

a b c (Å): 4.049 7.049 7.049
angles (deg): 120.00 90.00 90.00
Sites, in units of the cell vectors:
Al: 0.000 0.000 0.237
Al: 0.000 0.763 0.763
Al: 0.000 0.237 0.000
Pd: 0.500 0.000 0.000
Pd: 0.000 0.333 0.667
Pd: 0.000 0.667 0.333
Tb: 0.500 0.000 0.582
Tb: 0.500 0.582 0.000
Tb: 0.500 0.418 0.418

Output
* ΔH_f (0 K): -0.87 eV/atom
* DFT total energy: -5.89 eV per atom
* M_tot: 0.00 μB per cell
* space group: P-62m

=====

No. 6
Crystalline Tb2Al9Pd3 at its relaxed geometry, computed with PBEsol.

a b c (Å): 7.589 7.589 9.374
angles (deg): 90.00 90.00 119.56
Sites, in units of the cell vectors:
Al: 0.333 0.333 0.056
Al: 0.661 0.452 0.250
Al: 0.000 0.665 0.075
Al: 0.667 0.667 0.944
Al: 0.665 0.000 0.425
Al: 0.000 0.335 0.925
Al: 0.339 0.548 0.750
Al: 0.335 0.000 0.575
Al: 0.871 0.871 0.250
Al: 0.452 0.661 0.250
Al: 0.129 0.129 0.750
Al: 0.000 0.665 0.425
Al: 0.665 0.000 0.075
Al: 0.000 0.335 0.575
Al: 0.335 0.000 0.925
Al: 0.333 0.333 0.444
Al: 0.548 0.339 0.750
Al: 0.667 0.667 0.556
Tb: 0.993 0.670 0.750
Tb: 0.330 0.007 0.250
Tb: 0.670 0.993 0.750
Tb: 0.007 0.330 0.250
Pd: 0.672 0.328 0.500
Pd: 0.328 0.672 0.000
Pd: 0.328 0.672 0.500
Pd: 0.000 0.000 0.000
Pd: 0.672 0.328 0.000
Pd: 0.000 0.000 0.500

Output
* ΔH_f (0 K): -0.71 eV/atom
* DFT total energy: -5.34 eV per atom
* M_tot: 0.00 μB per cell
* space group: Cmcm

=====

No. 7
Crystalline AlTe2Pd at its relaxed geometry, computed with PBEsol.

a b c (Å): 4.030 4.030 7.287
angles (deg): 73.98 73.95 60.00
Sites, in units of the cell vectors:
Pd: 0.655 0.654 0.036
Al: 0.269 0.269 0.193
Te: 0.051 0.050 0.848
Te: 0.525 0.527 0.423

Output
* DFT total energy: -4.70 eV per atom
* E_form (uncorrected): -0.427 eV/atom
* M_tot: 0.00 μB per cell
* space group: R3m

=====

No. 8
Crystalline TiAlPd2 at its relaxed geometry, computed with PBEsol.

a b c (Å): 2.855 2.855 7.103
angles (deg): 90.00 90.00 90.00
Sites, in units of the cell vectors:
Pd: 0.500 0.500 0.770
Pd: 0.500 0.500 0.230
Ti: 0.000 0.000 0.500
Al: 0.000 0.000 0.000

Output
* ΔH_f (0 K): -0.75 eV/atom
* DFT total energy: -6.83 eV per atom
* M_tot: 0.01 μB per cell
* space group: P4/mmm

=====

No. 9
Crystalline YAl2PdW at its relaxed geometry, computed with PBEsol.

a b c (Å): 4.579 4.579 5.096
angles (deg): 90.00 90.00 90.00
Last column: magnetic moment on the atom in μB.
Sites, in units of the cell vectors:
Al: 0.000 0.500 0.000  -0.01
Al: 0.500 0.000 0.000  -0.01
Pd: 0.000 0.000 0.000  0.00
W: 0.500 0.500 0.500  1.14
Y: 0.000 0.000 0.500  0.00

Output
* ΔH_f (0 K): 0.69 eV/atom
* DFT total energy: -6.27 eV per atom
* M_tot: 1.43 μB per cell
* space group: P4/mmm

=====

No. 10
Crystalline YAlPd2 at its relaxed geometry, computed with PBEsol.

a b c (Å): 4.364 4.364 9.037
angles (deg): 103.97 103.97 90.00
Sites, in units of the cell vectors:
Y: 0.000 0.000 0.000
Y: 0.250 0.750 0.500
Pd: 0.625 0.557 0.750
Pd: 0.443 0.875 0.250
Pd: 0.807 0.375 0.250
Pd: 0.125 0.193 0.750
Al: 0.750 0.250 0.500
Al: 0.500 0.500 0.000

Output
* ΔH_f (0 K): -0.35 eV/atom
* DFT total energy: -6.05 eV per atom
* M_tot: 0.00 μB per cell
* space group: I-42d

=====

No. 11
Crystalline YAl2Pd2 at its relaxed geometry, computed with PBEsol.

a b c (Å): 4.023 4.023 6.291
angles (deg): 108.65 108.65 90.00
Sites, in units of the cell vectors:
Y: 0.000 0.000 0.000
Al: 0.250 0.750 0.500
Al: 0.750 0.250 0.500
Pd: 0.618 0.618 0.235
Pd: 0.382 0.382 0.765

Output
* ΔH_f (0 K): -0.84 eV/atom
* DFT total energy: -6.22 eV per atom
* M_tot: 0.00 μB per cell
* space group: I4/mmm

=====

No. 12
Crystalline YAlPd at its relaxed geometry, computed with PBEsol.

a b c (Å): 4.402 6.869 7.656
angles (deg): 90.00 90.00 90.00
Sites, in units of the cell vectors:
Y: 0.750 0.470 0.181
Y: 0.750 0.970 0.319
Y: 0.250 0.030 0.681
Y: 0.250 0.530 0.819
Al: 0.250 0.647 0.435
Al: 0.750 0.853 0.935
Al: 0.250 0.147 0.065
Al: 0.750 0.353 0.565
Pd: 0.250 0.275 0.385
Pd: 0.250 0.775 0.115
Pd: 0.750 0.725 0.615
Pd: 0.750 0.225 0.885

Output
* ΔH_f (0 K): -0.90 eV/atom
* DFT total energy: -6.52 eV per atom
* M_tot: 0.00 μB per cell
* space group: Pnma

=====

No. 13
Crystalline YAlPd at its relaxed geometry, computed with PBEsol.

a b c (Å): 4.017 7.070 7.070
angles (deg): 120.00 90.00 90.00
Sites, in units of the cell vectors:
Al: 0.000 0.238 0.000
Al: 0.000 0.762 0.762
Al: 0.000 0.000 0.238
Y: 0.500 0.417 0.417
Y: 0.500 0.583 0.000
Y: 0.500 0.000 0.583
Pd: 0.000 0.667 0.333
Pd: 0.000 0.333 0.667
Pd: 0.500 0.000 0.000

Output
* ΔH_f (0 K): -0.88 eV/atom
* DFT total energy: -6.51 eV per atom
* M_tot: 0.00 μB per cell
* space group: P-62m

=====

No. 14
Crystalline Y2Al9Pd3 at its relaxed geometry, computed with PBEsol.

a b c (Å): 7.670 7.670 9.512
angles (deg): 90.00 90.00 119.69
Sites, in units of the cell vectors:
Y: 0.994 0.669 0.750
Y: 0.331 0.006 0.250
Y: 0.006 0.331 0.250
Y: 0.669 0.994 0.750
Pd: 0.329 0.671 0.500
Pd: 0.329 0.671 0.000
Pd: 0.000 0.000 0.500
Pd: 0.671 0.329 0.000
Pd: 0.000 0.000 0.000
Pd: 0.671 0.329 0.500
Al: 0.999 0.666 0.076
Al: 0.128 0.128 0.750
Al: 0.666 0.666 0.559
Al: 0.663 0.455 0.250
Al: 0.334 0.334 0.441
Al: 0.666 0.999 0.076
Al: 0.334 0.001 0.576
Al: 0.872 0.872 0.250
Al: 0.666 0.999 0.424
Al: 0.455 0.663 0.250
Al: 0.666 0.666 0.941
Al: 0.334 0.334 0.059
Al: 0.334 0.001 0.924
Al: 0.001 0.334 0.924
Al: 0.999 0.666 0.424
Al: 0.545 0.337 0.750
Al: 0.337 0.545 0.750
Al: 0.001 0.334 0.576

Output
* ΔH_f (0 K): -0.72 eV/atom
* DFT total energy: -5.60 eV per atom
* M_tot: 0.00 μB per cell
* space group: Cmcm

=====

No. 15
Crystalline YAlPd2 at its relaxed geometry, computed with PBEsol.

a b c (Å): 4.333 4.333 8.956
angles (deg): 90.00 90.00 120.00
Sites, in units of the cell vectors:
Pd: 0.667 0.333 0.421
Pd: 0.333 0.667 0.579
Pd: 0.333 0.667 0.921
Pd: 0.667 0.333 0.079
Y: 0.333 0.667 0.250
Y: 0.667 0.333 0.750
Al: 0.000 0.000 0.500
Al: 0.000 0.000 0.000

Output
* ΔH_f (0 K): -0.94 eV/atom
* DFT total energy: -6.65 eV per atom
* M_tot: 0.00 μB per cell
* space group: P6_3/mmc

=====

No. 16
Crystalline YAl2Pd5 at its relaxed geometry, computed with PBEsol.

a b c (Å): 4.082 4.082 7.922
angles (deg): 104.93 104.93 90.00
Sites, in units of the cell vectors:
Y: 0.000 0.000 0.000
Pd: 0.144 0.644 0.287
Pd: 0.500 0.500 0.000
Pd: 0.356 0.856 0.713
Pd: 0.856 0.356 0.713
Pd: 0.644 0.144 0.287
Al: 0.253 0.253 0.506
Al: 0.747 0.747 0.494

Output
* ΔH_f (0 K): -0.95 eV/atom
* DFT total energy: -6.55 eV per atom
* M_tot: 0.00 μB per cell
* space group: I4/mmm

=====

No. 17
Crystalline AlZnPd3 at its relaxed geometry, computed with PBEsol.

a b c (Å): 4.488 4.488 4.488
angles (deg): 90.00 90.00 90.00
Sites, in units of the cell vectors:
Pd: 0.500 0.000 0.000
Pd: 0.000 0.500 0.000
Pd: 0.000 0.000 0.500
Zn: 0.000 0.000 0.000
Al: 0.500 0.500 0.500

Output
* ΔH_f (0 K): 0.35 eV/atom
* DFT total energy: -4.36 eV per atom
* M_tot: 0.00 μB per cell
* space group: Pm-3m

=====

No. 18
Crystalline Al2ZnPd2 at its relaxed geometry, computed with PBEsol.

a b c (Å): 3.024 7.016 7.016
angles (deg): 90.00 90.00 90.00
Sites, in units of the cell vectors:
Pd: 0.000 0.851 0.649
Pd: 0.000 0.351 0.851
Pd: 0.000 0.649 0.149
Pd: 0.000 0.149 0.351
Al: 0.500 0.649 0.851
Al: 0.500 0.149 0.649
Al: 0.500 0.851 0.351
Al: 0.500 0.351 0.149
Zn: 0.000 0.500 0.500
Zn: 0.000 0.000 0.000

Output
* ΔH_f (0 K): -0.66 eV/atom
* DFT total energy: -5.00 eV per atom
* M_tot: 0.00 μB per cell
* space group: P4/mbm

=====

No. 19
Crystalline ZrAlPd at its relaxed geometry, computed with PBEsol.

a b c (Å): 4.164 5.122 5.322
angles (deg): 90.00 90.00 113.98
Sites, in units of the cell vectors:
Al: 0.500 0.000 0.500
Al: 0.500 0.000 0.000
Pd: 0.904 0.808 0.250
Pd: 0.096 0.192 0.750
Zr: 0.204 0.407 0.250
Zr: 0.796 0.593 0.750

Output
* ΔH_f (0 K): -0.73 eV/atom
* DFT total energy: -7.11 eV per atom
* M_tot: 0.00 μB per cell
* space group: Cmcm

=====

No. 20
Crystalline ZrAl2Pd at its relaxed geometry, computed with PBEsol.

a b c (Å): 5.565 5.798 5.798
angles (deg): 76.69 61.32 61.32
Sites, in units of the cell vectors:
Pd: 0.000 0.000 0.000
Pd: 0.750 0.500 0.500
Al: 0.375 0.540 0.960
Al: 0.665 0.960 0.460
Al: 0.085 0.040 0.540
Al: 0.875 0.460 0.040
Zr: 0.500 0.000 0.000
Zr: 0.250 0.500 0.500

Output
* ΔH_f (0 K): -0.36 eV/atom
* DFT total energy: -6.17 eV per atom
* M_tot: 0.00 μB per cell
* space group: I-42d

=====

No. 21
Crystalline ZrAlPd at its relaxed geometry, computed with PBEsol.

a b c (Å): 5.251 5.251 8.370
angles (deg): 90.00 90.00 119.21
Last column: magnetic moment on the atom in μB.
Sites, in units of the cell vectors:
Al: 0.996 0.004 0.246  0.00
Al: 0.350 0.168 0.500  0.00
Al: 0.832 0.650 0.500  0.00
Al: 0.996 0.004 0.754  0.00
Pd: 0.168 0.338 0.000  0.20
Pd: 0.835 0.165 0.500  0.04
Pd: 0.662 0.832 0.000  0.20
Pd: 0.167 0.833 0.000  0.04
Zr: 0.664 0.336 0.180  0.02
Zr: 0.333 0.667 0.301  0.01
Zr: 0.333 0.667 0.699  0.02
Zr: 0.664 0.336 0.820  0.02

Output
* ΔH_f (0 K): -0.72 eV/atom
* DFT total energy: -7.10 eV per atom
* M_tot: 0.83 μB per cell
* space group: Amm2

=====

No. 22
Crystalline Zr2Al2Pd at its relaxed geometry, computed with PBEsol.

a b c (Å): 4.324 6.457 6.457
angles (deg): 90.00 90.00 90.00
Sites, in units of the cell vectors:
Zr: 0.500 0.332 0.168
Zr: 0.500 0.168 0.668
Zr: 0.500 0.668 0.832
Zr: 0.500 0.832 0.332
Al: 0.000 0.140 0.360
Al: 0.000 0.640 0.140
Al: 0.000 0.860 0.640
Al: 0.000 0.360 0.860
Pd: 0.000 0.000 0.000
Pd: 0.000 0.500 0.500

Output
* ΔH_f (0 K): -0.62 eV/atom
* DFT total energy: -7.09 eV per atom
* M_tot: 0.00 μB per cell
* space group: P4/mbm

=====

No. 23
Crystalline ZrAlPd2 at its relaxed geometry, computed with PBEsol.

a b c (Å): 4.021 4.021 9.203
angles (deg): 102.62 102.62 90.00
Sites, in units of the cell vectors:
Zr: 0.250 0.750 0.500
Zr: 0.000 0.000 0.000
Al: 0.500 0.500 0.000
Al: 0.750 0.250 0.500
Pd: 0.625 0.605 0.750
Pd: 0.855 0.375 0.250
Pd: 0.125 0.145 0.750
Pd: 0.395 0.875 0.250

Output
* ΔH_f (0 K): -0.30 eV/atom
* DFT total energy: -6.58 eV per atom
* M_tot: 0.00 μB per cell
* space group: I-42d